Below is InFe2Mo2 after structural relaxation, with properties calculated at the PBE level.

Properties
SG: P4/mbm (127)
VASP energy, eV/atom: -8.04

a b c (Å): 7.2104 7.2104 2.8283
angles (deg): 90.00 90.00 90.00
Last column: nearest neighbours and their distance in Å.
Element x y z (fractional)
In1 0.0000 0.0000 0.0000  2 In 2.83, 4 Fe 2.85, 8 Mo 3.05
In2 0.5000 0.5000 0.0000  2 In 2.83, 4 Fe 2.85, 8 Mo 3.05
Fe1 0.1259 0.3741 0.0000  6 Mo 2.53-2.58, 3 Fe 2.57-2.83
Fe2 0.3741 0.8741 0.0000  6 Mo 2.53-2.58, 3 Fe 2.57-2.83
Fe3 0.6259 0.1259 0.0000  6 Mo 2.53-2.58, 3 Fe 2.57-2.83
Fe4 0.8741 0.6259 0.0000  6 Mo 2.53-2.58, 3 Fe 2.57-2.83
Mo1 0.1621 0.6621 0.5000  6 Fe 2.53-2.58, 2 Mo 2.83
Mo2 0.3379 0.1621 0.5000  6 Fe 2.53-2.58, 2 Mo 2.83
Mo3 0.6621 0.8379 0.5000  6 Fe 2.53-2.58, 2 Mo 2.83
Mo4 0.8379 0.3379 0.5000  6 Fe 2.53-2.58, 2 Mo 2.83



Below is InFeMo2 after structural relaxation, with properties calculated at the PBE level.

Properties
SG: Cmm2 (35)
VASP energy, eV/atom: -7.94

a b c (Å): 2.7884 2.7884 8.7996
angles (deg): 90.00 90.00 108.65
Last column: nearest neighbours and their distance in Å.
Element x y z (fractional)
In1 0.0000 0.0000 0.0000  2 Fe 2.75, 4 In 2.79, 2 Mo 2.93
Fe1 0.5000 0.5000 0.7484  2 Mo 2.56, 2 In 2.75, 4 Fe 2.79
Mo1 0.0000 0.0000 0.5241  2 Fe 2.56, 6 Mo 2.71-2.79
Mo2 0.5000 0.5000 0.2776  6 Mo 2.71-2.79, 2 In 2.93



Below is InFeMo2 after structural relaxation, with properties calculated at the PBE level.

Properties
SG: P2/m (10)
VASP energy, eV/atom: -7.92

a b c (Å): 2.7748 4.2641 5.4990
angles (deg): 90.00 98.05 90.00
Last column: nearest neighbours and their distance in Å.
Element x y z (fractional)
In1 0.0000 0.0000 0.0000  2 Fe 2.75, 2 In 2.77, 8 Mo 2.93-2.99
Fe1 0.0000 0.0000 0.5000  4 Mo 2.67, 2 In 2.75, 2 Fe 2.77
Mo1 0.4426 0.5000 0.7220  3 Mo 2.51-2.77, 2 Fe 2.67
Mo2 0.5574 0.5000 0.2780  3 Mo 2.51-2.77, 2 Fe 2.67



Below is InFeMo2 after structural relaxation, with properties calculated at the PBE level.

Properties
SG: Pm (6)
VASP energy, eV/atom: -7.90

a b c (Å): 2.7759 4.3979 5.4380
angles (deg): 90.00 100.27 90.00
Last column: nearest neighbours and their distance in Å.
Element x y z (fractional)
In1 0.0000 0.0000 0.0000  2 Fe 2.71, 2 In 2.78, 4 Mo 2.82-2.94
Fe1 0.1419 0.5000 0.7295  3 Mo 2.61-2.68, 2 In 2.71, 2 Fe 2.78
Mo1 0.4282 0.0000 0.5115  4 Mo 2.66-2.78, 2 Fe 2.68, 2 In 2.82-2.84
Mo2 0.6396 0.5000 0.2763  1 Fe 2.61, 4 Mo 2.66-2.78



Repeat the first record exactly.
Below is InFe2Mo2 after structural relaxation, with properties calculated at the PBE level.

Properties
SG: P4/mbm (127)
VASP energy, eV/atom: -8.04

a b c (Å): 7.2104 7.2104 2.8283
angles (deg): 90.00 90.00 90.00
Last column: nearest neighbours and their distance in Å.
Element x y z (fractional)
In1 0.0000 0.0000 0.0000  2 In 2.83, 4 Fe 2.85, 8 Mo 3.05
In2 0.5000 0.5000 0.0000  2 In 2.83, 4 Fe 2.85, 8 Mo 3.05
Fe1 0.1259 0.3741 0.0000  6 Mo 2.53-2.58, 3 Fe 2.57-2.83
Fe2 0.3741 0.8741 0.0000  6 Mo 2.53-2.58, 3 Fe 2.57-2.83
Fe3 0.6259 0.1259 0.0000  6 Mo 2.53-2.58, 3 Fe 2.57-2.83
Fe4 0.8741 0.6259 0.0000  6 Mo 2.53-2.58, 3 Fe 2.57-2.83
Mo1 0.1621 0.6621 0.5000  6 Fe 2.53-2.58, 2 Mo 2.83
Mo2 0.3379 0.1621 0.5000  6 Fe 2.53-2.58, 2 Mo 2.83
Mo3 0.6621 0.8379 0.5000  6 Fe 2.53-2.58, 2 Mo 2.83
Mo4 0.8379 0.3379 0.5000  6 Fe 2.53-2.58, 2 Mo 2.83



Repeat the fourth record exactly.
Below is InFeMo2 after structural relaxation, with properties calculated at the PBE level.

Properties
SG: Pm (6)
VASP energy, eV/atom: -7.90

a b c (Å): 2.7759 4.3979 5.4380
angles (deg): 90.00 100.27 90.00
Last column: nearest neighbours and their distance in Å.
Element x y z (fractional)
In1 0.0000 0.0000 0.0000  2 Fe 2.71, 2 In 2.78, 4 Mo 2.82-2.94
Fe1 0.1419 0.5000 0.7295  3 Mo 2.61-2.68, 2 In 2.71, 2 Fe 2.78
Mo1 0.4282 0.0000 0.5115  4 Mo 2.66-2.78, 2 Fe 2.68, 2 In 2.82-2.84
Mo2 0.6396 0.5000 0.2763  1 Fe 2.61, 4 Mo 2.66-2.78



Q: The lowest VASP energy belongs to which entry?
A: InFe2Mo2